No. 1
A relaxed Rb2Li2ThS4 crystal. Source: the Alexandria database, functional PBE-GGA.

Output
symmetry	C2/m, No. 12
magnetization	0.00	μB per formula unit
ΔE_f (raw)	-1.57	eV/atom

Cell: 7.903 7.903 7.788 Å, 109.18 109.18 30.96°
Fractional coordinates of all 9 atoms:
Rb (0.140, 0.140, 0.067)
Rb (0.860, 0.860, 0.933)
Li (0.318, 0.318, 0.512)
Li (0.682, 0.682, 0.488)
Th (0.000, 0.000, 0.500)
S (0.194, 0.194, 0.656)
S (0.482, 0.482, 0.726)
S (0.518, 0.518, 0.274)
S (0.806, 0.806, 0.344)



No. 2
A relaxed RbLi3Th2S6 crystal. Source: the Alexandria database, functional PBE-GGA.

Output
symmetry	C2/m, No. 12
magnetization	0.00	μB per formula unit
ΔE_f (raw)	-1.61	eV/atom

Cell: 8.325 8.325 9.678 Å, 97.49 97.49 29.05°
Fractional coordinates of all 12 atoms:
Rb (0.000, 0.000, 0.000)
Li (0.000, 0.000, 0.500)
Li (0.353, 0.353, 0.292)
Li (0.647, 0.647, 0.708)
Th (0.334, 0.334, 0.665)
Th (0.666, 0.666, 0.335)
S (0.160, 0.160, 0.544)
S (0.205, 0.205, 0.174)
S (0.499, 0.499, 0.716)
S (0.501, 0.501, 0.284)
S (0.795, 0.795, 0.826)
S (0.840, 0.840, 0.456)



No. 3
A relaxed RbLi2TlS crystal. Source: the Alexandria database, functional PBE-GGA.

Output
symmetry	P4/mmm, No. 123
magnetization	0.86	μB per formula unit
ΔE_f (raw)	-0.43	eV/atom

Cell: 4.902 4.902 6.505 Å, 90.00 90.00 90.00°
Fractional coordinates of all 5 atoms:
Rb (0.000, 0.000, 0.000)
Li (0.000, 0.500, 0.500)
Li (0.500, 0.000, 0.500)
Tl (0.500, 0.500, 0.000)
S (0.000, 0.000, 0.500)



No. 4
A relaxed RbLiTm2S4 crystal. Source: the Alexandria database, functional PBE-GGA.

Output
symmetry	Cmcm, No. 63
magnetization	0.00	μB per formula unit
ΔE_f (raw)	-1.84	eV/atom

Cell: 7.040 7.040 13.894 Å, 90.00 90.00 146.96°
Fractional coordinates of all 16 atoms:
Rb (0.107, 0.893, 0.750)
Rb (0.893, 0.107, 0.250)
Li (0.172, 0.828, 0.250)
Li (0.828, 0.172, 0.750)
Tm (0.366, 0.634, 0.561)
Tm (0.366, 0.634, 0.939)
Tm (0.634, 0.366, 0.061)
Tm (0.634, 0.366, 0.439)
S (0.000, 0.000, 0.000)
S (0.000, 0.000, 0.500)
S (0.260, 0.740, 0.104)
S (0.260, 0.740, 0.396)
S (0.418, 0.582, 0.750)
S (0.582, 0.418, 0.250)
S (0.740, 0.260, 0.604)
S (0.740, 0.260, 0.896)



Copy entry 4 word for word.
A relaxed RbLiTm2S4 crystal. Source: the Alexandria database, functional PBE-GGA.

Output
symmetry	Cmcm, No. 63
magnetization	0.00	μB per formula unit
ΔE_f (raw)	-1.84	eV/atom

Cell: 7.040 7.040 13.894 Å, 90.00 90.00 146.96°
Fractional coordinates of all 16 atoms:
Rb (0.107, 0.893, 0.750)
Rb (0.893, 0.107, 0.250)
Li (0.172, 0.828, 0.250)
Li (0.828, 0.172, 0.750)
Tm (0.366, 0.634, 0.561)
Tm (0.366, 0.634, 0.939)
Tm (0.634, 0.366, 0.061)
Tm (0.634, 0.366, 0.439)
S (0.000, 0.000, 0.000)
S (0.000, 0.000, 0.500)
S (0.260, 0.740, 0.104)
S (0.260, 0.740, 0.396)
S (0.418, 0.582, 0.750)
S (0.582, 0.418, 0.250)
S (0.740, 0.260, 0.604)
S (0.740, 0.260, 0.896)



Q: Among the records above, which one has the lowest ΔE_f (raw)?
A: RbLiTm2S4